La2TlSb: relaxed, PBE.

Cell and atoms, written as POSCAR:
```
La2TlSb
1.0
4.617 0.000 0.000
0.000 4.625 -0.821
0.000 -0.080 12.981
La Tl Sb
4 2 2
direct
0.750 0.936 0.872
0.750 0.686 0.371
0.250 0.314 0.629
0.250 0.064 0.128
0.750 0.542 0.085
0.250 0.458 0.915
0.750 0.812 0.623
0.250 0.188 0.377
```

Properties
- formation energy (no corrections) (eV per atom) = -0.822
- size of the total moment (μB per cell) = 0.00
- theoretical density (kg/m³) = 7244
- E (eV per cell) = -39.3
- crystal system = orthorhombic
- space group = Cmcm (63)
- excess energy over the best structure of this formula in the dataset (meV/atom) = 0.0


La5Tl2Sb: relaxed, PBE.

Cell and atoms, written as POSCAR:
```
La5Tl2Sb
1.0
-2.580 -2.123 4.387
1.454 -6.503 -2.292
11.746 0.163 6.987
La Sb Tl
10 2 4
direct
0.500 0.157 0.095
0.500 0.843 0.905
0.500 0.657 0.405
0.000 0.351 0.276
0.000 0.000 0.500
0.000 0.649 0.724
0.000 0.851 0.224
0.000 0.500 0.000
0.500 0.343 0.595
0.000 0.149 0.776
0.000 0.500 0.500
0.000 0.000 0.000
0.500 0.390 0.846
0.500 0.610 0.154
0.500 0.110 0.346
0.500 0.890 0.654
```

Properties
- formation energy (no corrections) (eV per atom) = -0.514
- size of the total moment (μB per cell) = 0.00
- theoretical density (kg/m³) = 7661
- E (eV per cell) = -75.2
- crystal system = orthorhombic
- space group = Pbam (55)


La2TlSb: relaxed, PBE.

Cell and atoms, written as POSCAR:
```
La2TlSb
1.0
-3.694 -2.509 3.753
1.098 -5.670 -0.819
3.870 4.212 1.147
Sb La Tl
1 2 1
direct
0.750 0.250 0.500
0.000 0.000 0.000
0.500 0.500 0.000
0.250 0.750 0.500
```

Properties
- formation energy (no corrections) (eV per atom) = -0.707
- size of the total moment (μB per cell) = 0.00
- theoretical density (kg/m³) = 8213
- E (eV per cell) = -19.2
- crystal system = tetragonal
- space group = I4/mmm (139)
- excess energy over the best structure of this formula in the dataset (meV/atom) = 115.6


La4TlSb: relaxed, PBE.

Cell and atoms, written as POSCAR:
```
La4TlSb
1.0
0.000 4.585 4.585
4.585 0.000 4.585
4.585 4.585 0.000
Tl La Sb
1 4 1
direct
0.000 0.000 0.000
0.875 0.375 0.375
0.375 0.375 0.875
0.375 0.375 0.375
0.375 0.875 0.375
0.750 0.750 0.750
```

Properties
- formation energy (no corrections) (eV per atom) = -0.052
- size of the total moment (μB per cell) = 0.00
- theoretical density (kg/m³) = 7597
- E (eV per cell) = -26.5
- crystal system = cubic
- space group = F-43m (216)
- excess energy over the best structure of this formula in the dataset (meV/atom) = 504.3